## Mg2Pt5Rh (PBE)

Data for a relaxed structure of Mg2Pt5Rh.

a b c (Å): 3.918 5.604 11.219
angles (deg): 90.00 90.00 90.00
Atoms (fractional coordinates):
Mg  0.500  0.750  0.125
Mg  0.500  0.250  0.875
Mg  0.500  0.750  0.625
Mg  0.500  0.250  0.375
Pt  0.000  0.000  0.500
Pt  0.000  0.500  0.000
Pt  0.000  0.001  0.248
Pt  0.000  0.999  0.752
Pt  0.000  0.499  0.748
Pt  0.000  0.501  0.252
Pt  0.500  0.749  0.377
Pt  0.500  0.251  0.623
Pt  0.500  0.751  0.877
Pt  0.500  0.249  0.123
Rh  0.000  0.500  0.500
Rh  0.000  0.000  0.000

Results
M_tot, μB per cell: 0.0

=====

## Ca3AgHg2 (PBE)

Data for a relaxed structure of Ca3AgHg2.

a b c (Å): 3.739 3.739 11.418
angles (deg): 90.00 90.00 90.00
Atoms (fractional coordinates):
Ca  0.000  0.000  0.000
Ca  0.000  0.000  0.664
Ca  0.000  0.000  0.336
Ag  0.500  0.500  0.500
Hg  0.500  0.500  0.830
Hg  0.500  0.500  0.170

Results
M_tot, μB per cell: 0.0
Energy relative to the lowest polymorph listed for this composition, eV/atom: 0.000

=====

The calculation returns the following energy relative to the elements values, one per record and in order: -426, -274 kJ/mol of formula units.
The calculation returns the following uncorrected energy values, one per record and in order: -45.156, -12.300 eV per formula unit.
The calculation returns the following volume values, one per record and in order: 246.3, 159.6 Å³/cell.